(1)
DFT (PBE-GGA) results for crystalline MgSO2 at its relaxed geometry.

The value obtained for the total energy is -4.086 eV per atom. As for the energy relative to the lowest polymorph listed for this composition: 1206 meV per atom. As for the density of states at the Fermi level: 4.157 states/eV per cell. As for the uncorrected formation energy: -0.1761 eV/atom. The magnetic moment comes out at 0.000 μB per atom. Its mass density is 2.68 g cm⁻³.

It has space group R-3m (No. 166, hexagonal axes), with a = 3.3360 Å, b = 3.3360 Å, c = 17.0169 Å, α = 90.00°, β = 90.00° and γ = 120.00°. The inequivalent atoms are Mg at (0.0000, 0.0000, 0.0000), S at (0.0000, 0.0000, 0.5000) and O at (0.0000, 0.0000, 0.1148).

(2)
DFT (PBE-GGA) results for crystalline PrNdSe2 at its relaxed geometry.

The value obtained for the total energy is -5.942 eV per atom. As for the energy relative to the lowest polymorph listed for this composition: 29 meV per atom. As for the density of states at the Fermi level: 3.080 states/eV per cell. As for the uncorrected formation energy: -1.8133 eV/atom. The magnetic moment comes out at 0.000 μB per atom. Its mass density is 6.70 g cm⁻³.

It has space group R3m (No. 160, hexagonal axes), with a = 4.1484 Å, b = 4.1484 Å, c = 22.0937 Å, α = 90.00°, β = 90.00° and γ = 120.00°. The inequivalent atoms are Pr at (0.0000, 0.0000, 0.0000), Nd at (0.0000, 0.0000, 0.8229), Se at (0.0000, 0.0000, 0.4112) and Se at (0.0000, 0.0000, 0.5781).

(3)
DFT (PBE-GGA) results for crystalline PrErTm4 at its relaxed geometry.

The value obtained for the total energy is -4.371 eV per atom. As for the energy relative to the lowest polymorph listed for this composition: 140 meV per atom. As for the density of states at the Fermi level: 40.172 states/eV per cell. The value obtained for the energy of formation is 0.167 eV per atom. The magnetic moment comes out at 0.000 μB per atom. Its mass density is 8.56 g cm⁻³.

It has space group C2/c (No. 15), with a = 8.7278 Å, b = 14.6452 Å, c = 6.5063 Å, α = 90.00°, β = 113.32° and γ = 90.00°. The inequivalent atoms are Pr at (0.0000, 0.0126, 0.2500), Er at (0.0000, 0.4142, 0.2500), Tm at (0.0895, 0.2020, 0.5450) and Tm at (0.1989, 0.3735, 0.8925).

(4)
DFT (PBE-GGA) results for crystalline CaAcEuSc at its relaxed geometry.

The value obtained for the total energy is -5.518 eV per atom. As for the density of states at the Fermi level: 24.821 states/eV per cell. The value obtained for the energy of formation is 0.161 eV per atom. The magnetic moment comes out at 1.828 μB per atom. Its mass density is 5.17 g cm⁻³.

It has space group F-43m (No. 216), with a = 8.4154 Å, b = 8.4154 Å, c = 8.4154 Å, α = 90.00°, β = 90.00° and γ = 90.00°. The inequivalent atoms are Ca at (0.0000, 0.0000, 0.0000), Ac at (0.2500, 0.2500, 0.7500), Eu at (0.2500, 0.2500, 0.2500) and Sc at (0.0000, 0.0000, 0.5000).

(5)
DFT (PBE-GGA) results for crystalline NaMgIr2I at its relaxed geometry.

The value obtained for the total energy is -3.296 eV per atom. As for the density of states at the Fermi level: 4.872 states/eV per cell. As for the uncorrected formation energy: 1.1412 eV/atom. The magnetic moment comes out at 0.000 μB per atom. Its mass density is 7.21 g cm⁻³.

It has space group P4/mmm (No. 123), with a = 4.9805 Å, b = 4.9805 Å, c = 5.1855 Å, α = 90.00°, β = 90.00° and γ = 90.00°. The inequivalent atoms are Na at (0.0000, 0.0000, 0.0000), Mg at (0.5000, 0.5000, 0.0000), Ir at (0.0000, 0.5000, 0.5000) and I at (0.0000, 0.0000, 0.5000).

(6)
DFT (PBE-GGA) results for crystalline MoSe4Br at its relaxed geometry.

The value obtained for the total energy is -3.558 eV per atom. As for the density of states at the Fermi level: 17.490 states/eV per cell. As for the uncorrected formation energy: 0.8486 eV/atom. The magnetic moment comes out at 0.544 μB per atom. Its mass density is 6.19 g cm⁻³.

It has space group F-43m (No. 216), with a = 8.0796 Å, b = 8.0796 Å, c = 8.0796 Å, α = 90.00°, β = 90.00° and γ = 90.00°. The inequivalent atoms are Mo at (0.0000, 0.0000, 0.0000), Se at (0.1261, 0.1261, 0.6261) and Br at (0.2500, 0.2500, 0.2500).

(7)
DFT (PBE-GGA) results for crystalline Ba4Pa3InO12 at its relaxed geometry.

The value obtained for the total energy is -7.936 eV per atom. As for the uncorrected formation energy: -3.0149 eV/atom. The magnetic moment comes out at 0.000 μB per atom. Its mass density is 6.89 g cm⁻³.

It has space group Im-3m (No. 229), with a = 9.0742 Å, b = 9.0742 Å, c = 9.0742 Å, α = 90.00°, β = 90.00° and γ = 90.00°. The inequivalent atoms are Ba at (0.2500, 0.2500, 0.2500), Pa at (0.0000, 0.0000, 0.5000), In at (0.0000, 0.0000, 0.0000), O at (0.0000, 0.0000, 0.2752) and O at (0.0000, 0.2500, 0.5000).

(8)
DFT (PBE-GGA) results for crystalline RbAu3N at its relaxed geometry.

The value obtained for the total energy is -3.254 eV per atom. As for the energy relative to the lowest polymorph listed for this composition: 0 meV per atom. As for the density of states at the Fermi level: 1.251 states/eV per cell. As for the uncorrected formation energy: 0.5711 eV/atom. The magnetic moment comes out at 0.000 μB per atom. Its mass density is 10.93 g cm⁻³.

It has space group Pm-3m (No. 221), with a = 4.7155 Å, b = 4.7155 Å, c = 4.7155 Å, α = 90.00°, β = 90.00° and γ = 90.00°. The inequivalent atoms are Rb at (0.0000, 0.0000, 0.0000), Au at (0.0000, 0.5000, 0.5000) and N at (0.5000, 0.5000, 0.5000).

(9)
DFT (PBE-GGA) results for crystalline Nd6Sm8Ho at its relaxed geometry.

The value obtained for the total energy is -4.565 eV per atom. As for the energy relative to the lowest polymorph listed for this composition: 51 meV per atom. As for the density of states at the Fermi level: 21.710 states/eV per cell. The value obtained for the energy of formation is 0.164 eV per atom. The magnetic moment comes out at 0.000 μB per atom. Its mass density is 7.08 g cm⁻³.

It has space group P-3 (No. 147), with a = 9.5445 Å, b = 9.5445 Å, c = 6.6431 Å, α = 90.00°, β = 90.00° and γ = 120.00°. The inequivalent atoms are Nd at (0.0849, 0.4342, 0.3363), Sm at (0.0298, 0.2790, 0.8341), Sm at (0.3333, 0.6667, 0.8850) and Ho at (0.0000, 0.0000, 0.5000).

(10)
DFT (PBE-GGA) results for crystalline NaUTlSe3 at its relaxed geometry.

The value obtained for the total energy is -5.239 eV per atom. As for the density of states at the Fermi level: 13.442 states/eV per cell. As for the uncorrected formation energy: -1.0007 eV/atom. The magnetic moment comes out at 0.333 μB per atom. Its mass density is 6.73 g cm⁻³.

It has space group P2_1/m (No. 11), with a = 8.0774 Å, b = 4.1999 Å, c = 10.2399 Å, α = 90.00°, β = 94.22° and γ = 90.00°. The inequivalent atoms are Na at (0.2414, 0.2500, 0.4888), U at (0.4208, 0.7500, 0.8189), Tl at (0.0574, 0.7500, 0.1659), Se at (0.1234, 0.7500, 0.6688), Se at (0.3068, 0.2500, 0.9826) and Se at (0.4340, 0.7500, 0.3208).

(11)
DFT (PBE-GGA) results for crystalline ThAg7S6 at its relaxed geometry.

The value obtained for the total energy is -4.107 eV per atom. As for the density of states at the Fermi level: 28.226 states/eV per cell. As for the uncorrected formation energy: -0.3824 eV/atom. The magnetic moment comes out at 0.000 μB per atom. Its mass density is 6.36 g cm⁻³.

It has space group R3 (No. 146, hexagonal axes), with a = 7.2205 Å, b = 7.2205 Å, c = 20.4747 Å, α = 90.00°, β = 90.00° and γ = 120.00°. The inequivalent atoms are Th at (0.0000, 0.0000, 0.0000), Ag at (0.0000, 0.0000, 0.3330), Ag at (0.0036, 0.7587, 0.7773), Ag at (0.0126, 0.3408, 0.2142), S at (0.0067, 0.6594, 0.5925) and S at (0.0575, 0.3380, 0.0838).

(12)
DFT (PBE-GGA) results for crystalline V2FeCoSe at its relaxed geometry.

The value obtained for the total energy is -6.488 eV per atom. As for the density of states at the Fermi level: 6.602 states/eV per cell. As for the uncorrected formation energy: 0.9702 eV/atom. The magnetic moment comes out at 0.213 μB per atom. Its mass density is 6.14 g cm⁻³.

It has space group P4/mmm (No. 123), with a = 4.3169 Å, b = 4.3169 Å, c = 4.2930 Å, α = 90.00°, β = 90.00° and γ = 90.00°. The inequivalent atoms are V at (0.0000, 0.5000, 0.0000), Fe at (0.0000, 0.0000, 0.0000), Co at (0.5000, 0.5000, 0.5000) and Se at (0.0000, 0.0000, 0.5000).